Material: Cs2KCI6
Method: DFT, PBE-GGA
State: relaxed

a = 12.1158 Å, b = 12.1158 Å, c = 12.1158 Å
α = 90.00°, β = 90.00°, γ = 90.00°
Last column: nearest neighbours and their distance in Å.
Space group Fm-3m (No. 225)
Symmetry-distinct sites (fractional):
Cs  0.2500  0.2500  0.2500  12 I 4.30
K  0.0000  0.0000  0.0000  6 I 3.40
C  0.0000  0.0000  0.5000  6 I 2.66
I  0.0000  0.0000  0.2805  1 C 2.66

## Properties
For the mass density, the calculation gives 4.03 Mg/m³. As for the uncorrected formation energy: -0.338 eV/atom.